Entry from the Alexandria database: MnNiF2 after structural relaxation (PBE+U).

Cell and atoms, written as extended XYZ:
```
8
Lattice="-4.993 -1.250 1.069 1.564 -4.665 1.851 -1.249 -1.059 5.852" Properties=species:S:1:pos:R:3 pbc="T T T"
Ni 0.000 0.000 0.000
F -2.152 -3.224 5.568
Mn -0.700 -4.341 4.582
F -4.008 -5.759 6.861
F -0.185 -3.393 2.802
Ni -3.978 -2.633 4.191
F -3.012 -1.573 2.314
Mn -1.714 -2.958 1.460
```

magnetization = 1.003 μB per atom
space group = I-42d
crystal system = tetragonal
energy above the most stable polymorph in this dataset = 0.000 eV/atom
N(E_F) = 1.21 states/eV per cell
calculated total energy = -4.603 eV/atom